Entry 1:
The following is a PBEsol calculation of a relaxed structure of SiTc2Pb, from Alexandria via LeMat-Bulk.

abc: 4.3681 4.3681 5.3956
angles: 103.66 103.66 41.07
Positions (direct):
1 Si 0.0000 0.0000 0.0000
2 Tc 0.2713 0.2713 0.8058
3 Tc 0.7287 0.7287 0.1942
4 Pb 0.5000 0.5000 0.5000

Values from the calculation:
- offset from the most stable computed form (meV per atom) = 0.1
- energy relative to the elements, uncorrected (eV per formula unit) = 0.93
- mass density (g cm⁻³) = 10.9

---

Entry 2:
The following is a PBEsol calculation of a relaxed structure of Li4Mo3O8, from Alexandria via LeMat-Bulk.

abc: 11.1272 11.1272 11.1272
angles: 29.68 29.68 29.68
Positions (direct):
1 Li 0.0000 0.0000 0.0000
2 Li 0.1741 0.1741 0.1741
3 Li 0.2457 0.2457 0.2457
4 Li 0.3155 0.3155 0.3155
5 Li 0.5000 0.5000 0.5000
6 Li 0.6845 0.6845 0.6845
7 Li 0.7543 0.7543 0.7543
8 Li 0.8259 0.8259 0.8259
9 Mo 0.2681 0.2681 0.7146
10 Mo 0.2681 0.7146 0.2681
11 Mo 0.2854 0.7319 0.7319
12 Mo 0.7146 0.2681 0.2681
13 Mo 0.7319 0.2854 0.7319
14 Mo 0.7319 0.7319 0.2854
15 O 0.1126 0.1126 0.6223
16 O 0.1126 0.6223 0.1126
17 O 0.1158 0.1158 0.1158
18 O 0.1285 0.6201 0.6201
19 O 0.3726 0.3726 0.3726
20 O 0.3777 0.8874 0.8874
21 O 0.3799 0.3799 0.8715
22 O 0.3799 0.8715 0.3799
23 O 0.6201 0.1285 0.6201
24 O 0.6201 0.6201 0.1285
25 O 0.6223 0.1126 0.1126
26 O 0.6274 0.6274 0.6274
27 O 0.8715 0.3799 0.3799
28 O 0.8842 0.8842 0.8842
29 O 0.8874 0.3777 0.8874
30 O 0.8874 0.8874 0.3777

Values from the calculation:
- energy relative to the elements, uncorrected (eV per formula unit) = -31.43
- mass density (g cm⁻³) = 4.9

---

Entry 3:
The following is a PBEsol calculation of a relaxed structure of ScIrSeBr2, from Alexandria via LeMat-Bulk.

abc: 4.9313 4.9313 4.9140
angles: 90.00 90.00 90.00
Positions (direct):
1 Sc 0.0000 0.0000 0.0000
2 Ir 0.5000 0.5000 0.5000
3 Se 0.5000 0.5000 0.0000
4 Br 0.0000 0.5000 0.5000
5 Br 0.5000 0.0000 0.5000

Values from the calculation:
- energy relative to the elements, uncorrected (eV per formula unit) = 0.37
- mass density (g cm⁻³) = 6.6

---

Entry 4:
The following is a PBEsol calculation of a relaxed structure of CdTc2Hg, from Alexandria via LeMat-Bulk.

abc: 2.9242 2.9242 8.0097
angles: 90.00 90.00 90.00
Positions (direct):
1 Cd 0.0000 0.0000 0.0000
2 Tc 0.0000 0.0000 0.5621
3 Tc 0.5000 0.5000 0.7392
4 Hg 0.5000 0.5000 0.2954

Values from the calculation:
- offset from the most stable computed form (meV per atom) = 0.0
- calculated formation energy (meV/atom) = 141
- mass density (g cm⁻³) = 12.3

---

Entry 5:
The following is a PBEsol calculation of a relaxed structure of CaInHg, from Alexandria via LeMat-Bulk.

abc: 6.3839 6.3839 6.3839
angles: 147.48 147.48 46.65
Positions (direct):
1 Ca 0.0000 0.0000 0.0000
2 In 0.6864 0.6864 0.0000
3 Hg 0.3376 0.3376 0.0000

Values from the calculation:
- calculated formation energy (meV/atom) = -435
- mass density (g cm⁻³) = 7.9

---

Entry 6:
The following is a PBEsol calculation of a relaxed structure of InOs2Se2, from Alexandria via LeMat-Bulk.

abc: 6.8416 6.8416 6.8416
angles: 145.47 145.47 49.64
Positions (direct):
1 In 0.0000 0.0000 0.0000
2 Os 0.2500 0.7500 0.5000
3 Os 0.7500 0.2500 0.5000
4 Se 0.3576 0.3576 0.0000
5 Se 0.6424 0.6424 0.0000

Values from the calculation:
- energy relative to the elements, uncorrected (eV per formula unit) = 1.49
- mass density (g cm⁻³) = 10.6

---

Entry 7:
The following is a PBEsol calculation of a relaxed structure of ZnHg5, from Alexandria via LeMat-Bulk.

abc: 3.1311 3.1311 13.1311
angles: 90.00 90.00 90.00
Positions (direct):
1 Zn 0.0000 0.0000 0.0000
2 Hg 0.0000 0.0000 0.3210
3 Hg 0.0000 0.0000 0.6790
4 Hg 0.5000 0.5000 0.1415
5 Hg 0.5000 0.5000 0.5000
6 Hg 0.5000 0.5000 0.8585

Values from the calculation:
- calculated formation energy (meV/atom) = 53
- mass density (g cm⁻³) = 13.8

---

Entry 8:
The following is a PBEsol calculation of a relaxed structure of SrNiAuF2, from Alexandria via LeMat-Bulk.

abc: 4.2045 4.2045 4.8779
angles: 90.00 90.00 90.00
Positions (direct):
1 Sr 0.0000 0.0000 0.0000
2 Ni 0.5000 0.5000 0.5000
3 Au 0.5000 0.5000 0.0000
4 F 0.0000 0.5000 0.5000
5 F 0.5000 0.0000 0.5000

Values from the calculation:
- energy relative to the elements, uncorrected (eV per formula unit) = -6.58
- mass density (g cm⁻³) = 7.3

---

Entry 9:
The following is a PBEsol calculation of a relaxed structure of SrCdAs, from Alexandria via LeMat-Bulk.

abc: 4.9593 4.9593 4.9593
angles: 60.00 60.00 60.00
Positions (direct):
1 Sr 0.0000 0.0000 0.0000
2 Cd 0.5000 0.5000 0.5000
3 As 0.7500 0.7500 0.7500

Values from the calculation:
- calculated formation energy (meV/atom) = -495
- mass density (g cm⁻³) = 5.3

---

Entry 10:
The following is a PBEsol calculation of a relaxed structure of TlTc4As, from Alexandria via LeMat-Bulk.

abc: 5.1756 5.1756 5.1756
angles: 60.00 60.00 60.00
Positions (direct):
1 Tl 0.0000 0.0000 0.0000
2 Tc 0.1276 0.6241 0.6241
3 Tc 0.6241 0.1276 0.6241
4 Tc 0.6241 0.6241 0.1276
5 Tc 0.6241 0.6241 0.6241
6 As 0.2500 0.2500 0.2500

Values from the calculation:
- calculated formation energy (meV/atom) = 613
- mass density (g cm⁻³) = 11.4

---

Entry 11:
The following is a PBEsol calculation of a relaxed structure of CdCl2, from Alexandria via LeMat-Bulk.

abc: 6.4514 6.4514 6.4514
angles: 90.00 90.00 90.00
Positions (direct):
1 Cd 0.0000 0.0000 0.0000
2 Cd 0.0000 0.5000 0.5000
3 Cd 0.5000 0.0000 0.5000
4 Cd 0.5000 0.5000 0.0000
5 Cl 0.1533 0.6533 0.8467
6 Cl 0.1533 0.8467 0.3467
7 Cl 0.3467 0.1533 0.8467
8 Cl 0.3467 0.3467 0.3467
9 Cl 0.6533 0.6533 0.6533
10 Cl 0.6533 0.8467 0.1533
11 Cl 0.8467 0.1533 0.6533
12 Cl 0.8467 0.3467 0.1533

Values from the calculation:
- energy relative to the elements, uncorrected (eV per formula unit) = -3.00
- mass density (g cm⁻³) = 4.5

---

Entry 12:
The following is a PBEsol calculation of a relaxed structure of La2YBi2, from Alexandria via LeMat-Bulk.

abc: 8.4812 8.4812 4.4373
angles: 90.00 90.00 90.00
Positions (direct):
1 La 0.1539 0.3461 0.0000
2 La 0.3461 0.8461 0.0000
3 La 0.6539 0.1539 0.0000
4 La 0.8461 0.6539 0.0000
5 Y 0.0000 0.0000 0.5000
6 Y 0.5000 0.5000 0.5000
7 Bi 0.1501 0.6501 0.5000
8 Bi 0.3499 0.1501 0.5000
9 Bi 0.6501 0.8499 0.5000
10 Bi 0.8499 0.3499 0.5000

Values from the calculation:
- calculated formation energy (meV/atom) = -864
- mass density (g cm⁻³) = 8.2

---

Entry 13:
The following is a PBEsol calculation of a relaxed structure of SrZnSb, from Alexandria via LeMat-Bulk.

abc: 4.4831 4.4831 4.6488
angles: 90.00 90.00 120.00
Positions (direct):
1 Sr 0.0000 0.0000 0.0000
2 Zn 0.3333 0.6667 0.5815
3 Sb 0.6667 0.3333 0.4751

Values from the calculation:
- energy relative to the elements, uncorrected (eV per formula unit) = -1.83
- mass density (g cm⁻³) = 5.6

---

Entry 14:
The following is a PBEsol calculation of a relaxed structure of CaCd2Ir, from Alexandria via LeMat-Bulk.

abc: 3.5366 3.5366 6.3982
angles: 90.00 90.00 90.00
Positions (direct):
1 Ca 0.0000 0.0000 0.0000
2 Cd 0.5000 0.5000 0.2860
3 Cd 0.5000 0.5000 0.7140
4 Ir 0.0000 0.0000 0.5000

Values from the calculation:
- calculated formation energy (meV/atom) = -10
- mass density (g cm⁻³) = 9.5

---

Entry 15:
The following is a PBEsol calculation of a relaxed structure of Co2Hg, from Alexandria via LeMat-Bulk.

abc: 5.2169 5.2169 6.3744
angles: 109.27 109.27 30.25
Positions (direct):
1 Co 0.0262 0.0262 0.2057
2 Co 0.3445 0.3445 0.9649
3 Co 0.6555 0.6555 0.0351
4 Co 0.9738 0.9738 0.7943
5 Hg 0.3433 0.3433 0.3875
6 Hg 0.6567 0.6567 0.6125

Values from the calculation:
- calculated formation energy (meV/atom) = 309
- mass density (g cm⁻³) = 12.9

---

Entry 16:
The following is a PBEsol calculation of a relaxed structure of AlPCl2, from Alexandria via LeMat-Bulk.

abc: 3.5279 3.5279 8.0589
angles: 90.00 90.00 119.12
Positions (direct):
1 Al 0.0000 0.0000 0.0000
2 P 0.5000 0.5000 0.1876
3 Cl 0.0000 0.0000 0.3931
4 Cl 0.5000 0.5000 0.7957

Values from the calculation:
- offset from the most stable computed form (meV per atom) = 15.8
- energy relative to the elements, uncorrected (eV per formula unit) = -0.67
- mass density (g cm⁻³) = 2.4

---

Entry 17:
The following is a PBEsol calculation of a relaxed structure of InCo2Se, from Alexandria via LeMat-Bulk.

abc: 4.4246 4.4246 4.4246
angles: 60.00 60.00 60.00
Positions (direct):
1 In 0.0000 0.0000 0.0000
2 Co 0.5000 0.5000 0.5000
3 Co 0.7500 0.7500 0.7500
4 Se 0.2500 0.2500 0.2500

Values from the calculation:
- energy relative to the elements, uncorrected (eV per formula unit) = 2.26
- mass density (g cm⁻³) = 8.4

---

Entry 18:
The following is a PBEsol calculation of a relaxed structure of NiAsRu2, from Alexandria via LeMat-Bulk.

abc: 2.7497 2.7497 8.0635
angles: 90.00 90.00 117.07
Positions (direct):
1 Ni 0.0000 0.0000 0.0000
2 As 0.0000 0.0000 0.5000
3 Ru 0.5000 0.5000 0.2540
4 Ru 0.5000 0.5000 0.7460

Values from the calculation:
- calculated formation energy (meV/atom) = 478
- mass density (g cm⁻³) = 10.3

---

Entry 19:
The following is a PBEsol calculation of a relaxed structure of BaMgCd2Mo, from Alexandria via LeMat-Bulk.

abc: 5.3788 5.3788 5.3221
angles: 90.00 90.00 90.00
Positions (direct):
1 Ba 0.0000 0.0000 0.0000
2 Mg 0.5000 0.5000 0.0000
3 Cd 0.0000 0.5000 0.5000
4 Cd 0.5000 0.0000 0.5000
5 Mo 0.0000 0.0000 0.5000

Values from the calculation:
- calculated formation energy (meV/atom) = 856
- mass density (g cm⁻³) = 5.2

---

Entry 20:
The following is a PBEsol calculation of a relaxed structure of Cd2CuRh, from Alexandria via LeMat-Bulk.

abc: 4.6914 4.6914 4.6914
angles: 127.64 127.64 77.20
Positions (direct):
1 Cd 0.2500 0.7500 0.5000
2 Cd 0.7500 0.2500 0.5000
3 Cu 0.0000 0.0000 0.0000
4 Rh 0.5000 0.5000 0.0000

Values from the calculation:
- calculated formation energy (meV/atom) = -30
- mass density (g cm⁻³) = 10.3

---

Entry 21:
The following is a PBEsol calculation of a relaxed structure of BaHg2Au2, from Alexandria via LeMat-Bulk.

abc: 6.9871 6.9871 6.9871
angles: 142.23 142.23 54.48
Positions (direct):
1 Ba 0.0000 0.0000 0.0000
2 Hg 0.2500 0.7500 0.5000
3 Hg 0.7500 0.2500 0.5000
4 Au 0.3917 0.3917 0.0000
5 Au 0.6083 0.6083 0.0000

Values from the calculation:
- calculated formation energy (meV/atom) = -452
- mass density (g cm⁻³) = 12.2

---

Entry 22:
The following is a PBEsol calculation of a relaxed structure of LiTl2Ag, from Alexandria via LeMat-Bulk.

abc: 4.9175 4.9175 4.9175
angles: 120.69 120.69 88.80
Positions (direct):
1 Li 0.0000 0.0000 0.0000
2 Tl 0.2500 0.7500 0.5000
3 Tl 0.7500 0.2500 0.5000
4 Ag 0.5000 0.5000 0.0000

Values from the calculation:
- offset from the most stable computed form (meV per atom) = 0.0
- calculated formation energy (meV/atom) = -93
- mass density (g cm⁻³) = 10.5

---

Entry 23:
The following is a PBEsol calculation of a relaxed structure of ZrBe2Pd, from Alexandria via LeMat-Bulk.

abc: 4.1710 4.1710 4.1710
angles: 60.00 60.00 60.00
Positions (direct):
1 Zr 0.0000 0.0000 0.0000
2 Be 0.2500 0.2500 0.2500
3 Be 0.7500 0.7500 0.7500
4 Pd 0.5000 0.5000 0.5000

Values from the calculation:
- calculated formation energy (meV/atom) = -352
- mass density (g cm⁻³) = 7.0

---

Entry 24:
The following is a PBEsol calculation of a relaxed structure of CdW3Br, from Alexandria via LeMat-Bulk.

abc: 4.5716 4.5716 4.5716
angles: 90.00 90.00 90.00
Positions (direct):
1 Cd 0.0000 0.0000 0.0000
2 W 0.0000 0.5000 0.5000
3 W 0.5000 0.0000 0.5000
4 W 0.5000 0.5000 0.0000
5 Br 0.5000 0.5000 0.5000

Values from the calculation:
- energy relative to the elements, uncorrected (eV per formula unit) = 10.30
- mass density (g cm⁻³) = 12.9

---

Entry 25:
The following is a PBEsol calculation of a relaxed structure of Kr, from Alexandria via LeMat-Bulk.

abc: 4.1148 4.1148 4.1148
angles: 60.00 60.00 60.00
Positions (direct):
1 Kr 0.0000 0.0000 0.0000

Values from the calculation:
- calculated formation energy (meV/atom) = 0
- mass density (g cm⁻³) = 2.8

---

Entry 26:
The following is a PBEsol calculation of a relaxed structure of ZrMn2RePb, from Alexandria via LeMat-Bulk.

abc: 4.7332 4.7332 5.3335
angles: 90.00 90.00 90.00
Positions (direct):
1 Zr 0.0000 0.0000 0.0000
2 Mn 0.0000 0.5000 0.5000
3 Mn 0.5000 0.0000 0.5000
4 Re 0.5000 0.5000 0.0000
5 Pb 0.0000 0.0000 0.5000

Values from the calculation:
- calculated formation energy (meV/atom) = 2165
- mass density (g cm⁻³) = 8.3

---

Entry 27:
The following is a PBEsol calculation of a relaxed structure of Zr2CoTc, from Alexandria via LeMat-Bulk.

abc: 3.0617 3.0617 7.2964
angles: 90.00 90.00 96.69
Positions (direct):
1 Zr 0.0000 0.0000 0.0000
2 Zr 0.5000 0.5000 0.3308
3 Co 0.0000 0.0000 0.5857
4 Tc 0.5000 0.5000 0.7374

Values from the calculation:
- offset from the most stable computed form (meV per atom) = 441.2
- calculated formation energy (meV/atom) = 65
- mass density (g cm⁻³) = 8.3

---

Entry 28:
The following is a PBEsol calculation of a relaxed structure of ZrTeI2O, from Alexandria via LeMat-Bulk.

abc: 5.9931 5.9931 3.9594
angles: 90.00 90.00 90.00
Positions (direct):
1 Zr 0.0000 0.0000 0.0000
2 Te 0.5000 0.5000 0.5000
3 I 0.0000 0.5000 0.5000
4 I 0.5000 0.0000 0.5000
5 O 0.5000 0.5000 0.0000

Values from the calculation:
- energy relative to the elements, uncorrected (eV per formula unit) = 1.23
- mass density (g cm⁻³) = 5.7